# Tm5Re2O12 GGA-PBEsol relaxed
data_Tm5Re2O12
_space_group_name_H-M_alt 'C 1 2/m 1'
_space_group_IT_number 12
_cell_length_a 12.152
_cell_length_b 5.550
_cell_length_c 7.358
_cell_angle_alpha 90.00
_cell_angle_beta 107.91
_cell_angle_gamma 90.00
loop_
_space_group_symop_operation_xyz
'x,y,z'
'-x,-y,-z'
'-x,y,-z'
'x,-y,z'
'x+1/2,y+1/2,z'
'-x+1/2,-y+1/2,-z'
'-x+1/2,y+1/2,-z'
'x+1/2,-y+1/2,z'
loop_
_atom_site_label
_atom_site_type_symbol
_atom_site_fract_x
_atom_site_fract_y
_atom_site_fract_z
Tm1 Tm 0.000 0.000 0.000
Tm2 Tm 0.185 0.500 0.323
Tm3 Tm 0.198 0.500 0.859
Re1 Re 0.000 0.216 0.500
O1 O 0.001 0.500 0.682
O2 O 0.002 0.000 0.291
O3 O 0.153 0.252 0.072
O4 O 0.168 0.255 0.587
# **Magnetization**: 0.00 Bohr magnetons per cell
# **Formation energy from raw total energies**: -3004 meV per atom
# **DOS at the Fermi energy**: 3.5 states/eV/f.u.